Tb3Y8Th: relaxed, PBE.

Cell: 6.6431 6.6431 10.3560 Å, 99.94 99.94 116.99°
Positions (direct):
Tb1 0.0000 0.0000 0.0000
Tb2 0.0000 0.5000 0.5000
Tb3 0.5000 0.0000 0.5000
Y1 0.0830 0.5826 0.1657
Y2 0.0837 0.0837 0.6682
Y3 0.4157 0.4157 0.3316
Y4 0.4174 0.9170 0.8343
Y5 0.5826 0.0830 0.1657
Y6 0.5843 0.5843 0.6684
Y7 0.9163 0.9163 0.3318
Y8 0.9170 0.4174 0.8343
Th1 0.5000 0.5000 0.0000

Output
Space group: C2/m
Energy of formation from the pure elements (kJ/mol of atoms): 5.9



CoP2Se: relaxed, PBE.

Cell: 7.7891 7.7891 7.7891 Å, 24.17 24.17 24.17°
Positions (direct):
Co1 0.0000 0.0000 0.0000
P1 0.2492 0.2492 0.2492
P2 0.5256 0.5256 0.5256
Se1 0.7221 0.7221 0.7221

Output
Space group: R3m
Formation energy without anion corrections (eV/atom): 0.039



Sm3YTl3Te8: relaxed, PBE.

Cell: 8.9254 8.9254 9.6636 Å, 117.55 117.55 59.94°
Positions (direct):
Sm1 0.0000 0.0000 0.0000
Sm2 0.0000 0.5000 0.0000
Sm3 0.5000 0.0000 0.0000
Y1 0.5000 0.5000 0.0000
Tl1 0.0000 0.5000 0.5000
Tl2 0.5000 0.0000 0.5000
Tl3 0.5000 0.5000 0.5000
Te1 0.2404 0.2404 0.2210
Te2 0.2424 0.7376 0.2175
Te3 0.2625 0.2625 0.7825
Te4 0.2624 0.7576 0.7825
Te5 0.7376 0.2424 0.2175
Te6 0.7375 0.7375 0.2175
Te7 0.7576 0.2624 0.7825
Te8 0.7596 0.7596 0.7790

Output
Space group: C2/m
Formation energy without anion corrections (eV/atom): -1.065



Respective total moment values: 0.000 0.000 0.000 μB/f.u..
Respective DOS(E_F) values: 19.3 2.5 6.5 states/eV/cell.